# InPW2 | Alexandria via LeMat-Bulk | PBE | relaxed
# Energy   -32.50 eV/f.u.
# Magnetization   0.0 Bohr magnetons per cell
# Density of states at the Fermi level   3.6 states/eV/f.u.
data_InPW2
_cell_length_a 3.2895
_cell_length_b 4.6357
_cell_length_c 9.9606
_cell_angle_alpha 90.00
_cell_angle_beta 90.00
_cell_angle_gamma 90.00
_space_group_name_H-M_alt 'C m m 2'
_space_group_IT_number 35
_space_group_name_Hall 'C 2 -2'
loop_
_atom_site_label
_atom_site_type_symbol
_atom_site_fract_x
_atom_site_fract_y
_atom_site_fract_z
_atom_site_occupancy
In1 In 0.0000 0.0000 0.0000 1
P1 P 0.0000 0.5000 0.6543 1
W1 W 0.0000 0.0000 0.4688 1
W2 W 0.0000 0.5000 0.2529 1